Record 1
VASP calculation (PBE) on an optimized crystal structure of LaNiIr2.

```
4
Lattice="-1.9232 4.0282 -3.5147 -4.1726 3.5564 1.4898 5.2130 -2.1009 0.8297" Properties=species:S:1:pos:R:3 pbc="T T T"
La -1.0038 2.6239 0.6535
Ir -5.9323 7.3811 -1.9706
Ni 0.1210 2.8598 -1.8487
Ir -3.2115 3.9958 -1.0668
```

Theoretical density   14.24 Mg/m³
Total magnetization   0.0 μB per cell
Density of states at the Fermi level   0.97 states/eV/atom
Formation energy   -15 meV per atom
DFT total energy   -7.12 eV/atom

Record 2
VASP calculation (PBE) on an optimized crystal structure of LaNiIr2.

```
4
Lattice="4.3905 0.0000 0.0000 0.0000 2.9401 -0.0218 0.0000 1.0819 5.4285" Properties=species:S:1:pos:R:3 pbc="T T T"
La 0.0000 1.9682 2.9185
Ir 2.1952 0.9763 0.8415
Ir 0.0000 2.5230 0.1722
Ni 2.1952 3.5056 4.1560
```

Theoretical density   13.77 Mg/m³
Total magnetization   0.0 μB per cell
Density of states at the Fermi level   0.95 states/eV/atom
Formation energy   -85 meV per atom
DFT total energy   -7.19 eV/atom

Record 3
VASP calculation (PBE) on an optimized crystal structure of La8NiIr3.

```
12
Lattice="-4.7958 1.7481 2.7157 2.2277 -5.2071 7.2857 5.9315 7.0681 -0.2299" Properties=species:S:1:pos:R:3 pbc="T T T"
La -1.2484 3.4100 1.7554
Ir 3.4540 4.5960 3.1411
La 2.3549 1.8755 2.9514
La 0.9969 1.7570 6.7844
Ir -0.1053 -0.9518 6.5817
La 4.5644 3.6804 5.6914
La -1.2146 -0.0324 4.0309
Ni 3.5319 1.0032 5.5913
La 0.9787 5.3004 4.4715
Ir -0.1660 2.6217 4.1742
La 2.3745 -1.6525 5.2569
La 4.5801 0.1775 7.9738
```

Theoretical density   6.53 Mg/m³
Total magnetization   0.0 μB per cell
Density of states at the Fermi level   0.71 states/eV/atom
Formation energy   -419 meV per atom
DFT total energy   -6.40 eV/atom

Record 4
VASP calculation (PBE) on an optimized crystal structure of LaNiIr.

```
6
Lattice="-0.3802 -5.2273 -0.5739 2.7650 -0.5779 3.4313 -3.6912 2.0769 3.3242" Properties=species:S:1:pos:R:3 pbc="T T T"
Ir -1.2165 -2.1840 3.4908
Ir -0.5650 0.4395 3.4077
Ni -2.3252 -0.5376 1.7831
La 0.8807 -2.4960 1.7484
Ni -2.0883 -3.1821 1.1469
La -0.4647 -4.9588 -0.4606
```

Theoretical density   11.20 Mg/m³
Total magnetization   0.0 μB per cell
Density of states at the Fermi level   0.78 states/eV/atom
Formation energy   -382 meV per atom
DFT total energy   -6.91 eV/atom

Record 5
VASP calculation (PBE) on an optimized crystal structure of La2NiIr.

```
8
Lattice="7.6279 0.0000 0.0000 0.0000 7.6279 0.0000 3.8140 3.8140 3.2467" Properties=species:S:1:pos:R:3 pbc="T T T"
La 5.7210 5.7423 2.4350
La 9.5349 9.5136 2.4350
Ir 7.6279 3.8140 1.6233
Ni 3.8140 7.6279 1.6233
La 5.6996 1.9070 0.8117
Ir 0.0000 0.0000 0.0000
La 1.9283 5.7210 0.8117
Ni 3.8140 3.8140 0.0000
```

Theoretical density   9.30 Mg/m³
Total magnetization   0.0 μB per cell
Density of states at the Fermi level   0.73 states/eV/atom
Formation energy   -195 meV per atom
DFT total energy   -6.32 eV/atom

Record 6
VASP calculation (PBE) on an optimized crystal structure of LaNiIr2.

```
4
Lattice="2.8540 0.0000 0.0000 0.0000 3.7786 0.0000 0.0000 0.0000 6.5397" Properties=species:S:1:pos:R:3 pbc="T T T"
La 0.0000 0.0000 3.2981
Ni 1.4270 1.8893 5.2873
Ir 1.4270 1.8893 1.2388
Ir 0.0000 0.0000 6.5251
```

Theoretical density   13.70 Mg/m³
Total magnetization   0.0 μB per cell
Density of states at the Fermi level   1.43 states/eV/atom
Formation energy   -17 meV per atom
DFT total energy   -7.12 eV/atom

Record 7
VASP calculation (PBE) on an optimized crystal structure of LaNiIr.

```
6
Lattice="-1.2532 2.7291 -3.6391 -4.8757 -2.0911 0.1108 -1.3768 3.3693 3.0008" Properties=species:S:1:pos:R:3 pbc="T T T"
Ir -4.1914 1.4819 -0.5040
La -4.6745 0.9258 2.3040
Ni -6.3670 2.7572 1.2016
Ir -3.7706 3.6422 0.9712
Ni -1.7539 2.7558 -0.3881
La -1.5506 0.2857 0.7482
```

Theoretical density   10.96 Mg/m³
Total magnetization   0.0 μB per cell
Density of states at the Fermi level   0.57 states/eV/atom
Formation energy   -388 meV per atom
DFT total energy   -6.91 eV/atom

Record 8
VASP calculation (PBE) on an optimized crystal structure of La2NiIr.

```
4
Lattice="7.9768 0.0689 0.1502 -3.2031 3.8737 -0.0760 1.5706 1.3574 2.9600" Properties=species:S:1:pos:R:3 pbc="T T T"
La 4.7737 0.7131 1.5551
Ni -0.8163 2.6155 1.4420
Ir 2.3869 1.9713 0.0371
La 0.0000 0.0000 0.0000
```

Theoretical density   9.61 Mg/m³
Total magnetization   0.0 μB per cell
Density of states at the Fermi level   0.54 states/eV/atom
Formation energy   -454 meV per atom
DFT total energy   -6.58 eV/atom